First-principles (PBE-GGA) data for crystalline Mg2Zn4Rh at its relaxed geometry, as listed in the Alexandria database. Values from VASP.

VASP energy ... -2.397 eV per atom
ΔE_f ... -16 kJ per mole of atoms
V ... 241.66 Å³ per cell
Energy relative to the lowest polymorph listed for this composition ... 0.000 eV/atom
Magnetization ... 0.000 μB/cell

Quantum ESPRESSO input file:
```
&SYSTEM
  ibrav = 0, nat = 14, ntyp = 3
/
ATOMIC_SPECIES
Mg 24.30 Mg.upf
Zn 65.41 Zn.upf
Rh 102.91 Rh.upf
CELL_PARAMETERS angstrom
6.7672 0.0000 0.0000
0.0000 5.0906 0.0000
-2.3448 0.0000 7.0149
ATOMIC_POSITIONS angstrom
Mg -0.5855 1.2727 2.6814
Mg -0.0233 1.2727 5.7162
Mg 4.4457 3.8180 1.2986
Mg 5.0079 3.8180 4.3335
Zn -2.1822 3.8180 6.9326
Zn 1.0346 3.8180 3.6618
Zn 1.8745 0.0040 1.4589
Zn 1.8745 2.5413 1.4589
Zn 2.5479 2.5493 5.5560
Zn 2.5479 5.0866 5.5560
Zn 3.3877 1.2727 3.3531
Zn 6.6046 1.2727 0.0823
Rh 0.3004 3.8180 6.1820
Rh 4.1220 1.2727 0.8328
```

=====

First-principles (PBE-GGA) data for crystalline MgZrZnRh at its relaxed geometry, as listed in the Alexandria database. Values from VASP.

VASP energy ... -5.157 eV per atom
ΔE_f ... -45 kJ per mole of atoms
V ... 68.91 Å³ per cell
Magnetization ... 0.000 μB/cell

Quantum ESPRESSO input file:
```
&SYSTEM
  ibrav = 0, nat = 4, ntyp = 4
/
ATOMIC_SPECIES
Mg 24.30 Mg.upf
Zr 91.22 Zr.upf
Zn 65.41 Zn.upf
Rh 102.91 Rh.upf
CELL_PARAMETERS angstrom
0.0000 3.2541 3.2541
3.2541 0.0000 3.2541
3.2541 3.2541 0.0000
ATOMIC_POSITIONS angstrom
Mg 0.0000 0.0000 0.0000
Zr 3.2541 3.2541 3.2541
Zn 4.8811 4.8811 4.8811
Rh 1.6270 1.6270 1.6270
```

=====

First-principles (PBE-GGA) data for crystalline MgZrZnRh2 at its relaxed geometry, as listed in the Alexandria database. Values from VASP.

VASP energy ... -4.932 eV per atom
ΔE_f ... 28 kJ per mole of atoms
V ... 93.64 Å³ per cell
Magnetization ... 0.000 μB/cell

Quantum ESPRESSO input file:
```
&SYSTEM
  ibrav = 0, nat = 5, ntyp = 4
/
ATOMIC_SPECIES
Mg 24.30 Mg.upf
Zr 91.22 Zr.upf
Zn 65.41 Zn.upf
Rh 102.91 Rh.upf
CELL_PARAMETERS angstrom
4.6144 0.0000 0.0000
0.0000 4.6144 0.0000
0.0000 0.0000 4.3979
ATOMIC_POSITIONS angstrom
Mg 0.0000 0.0000 0.0000
Zr 2.3072 2.3072 0.0000
Zn 0.0000 0.0000 2.1990
Rh 0.0000 2.3072 2.1990
Rh 2.3072 0.0000 2.1990
```

=====

First-principles (PBE-GGA) data for crystalline MgZr2ZnRh4 at its relaxed geometry, as listed in the Alexandria database. Values from VASP.

VASP energy ... -6.957 eV per atom
ΔE_f ... -76 kJ per mole of atoms
V ... 129.02 Å³ per cell
Magnetization ... 0.000 μB/cell

Quantum ESPRESSO input file:
```
&SYSTEM
  ibrav = 0, nat = 8, ntyp = 4
/
ATOMIC_SPECIES
Mg 24.30 Mg.upf
Zr 91.22 Zr.upf
Zn 65.41 Zn.upf
Rh 102.91 Rh.upf
CELL_PARAMETERS angstrom
2.2518 1.3001 7.3454
-2.2518 1.3001 7.3454
0.0000 -2.6002 7.3454
ATOMIC_POSITIONS angstrom
Mg 0.0000 0.0000 0.0000
Zr 0.0000 0.0000 5.4715
Zr 0.0000 0.0000 16.5648
Zn 0.0000 0.0000 11.0181
Rh 0.0000 0.0000 2.7530
Rh 0.0000 0.0000 8.2671
Rh 0.0000 0.0000 13.7692
Rh 0.0000 0.0000 19.2833
```

=====

First-principles (PBE-GGA) data for crystalline Mg5ZrRh6 at its relaxed geometry, as listed in the Alexandria database. Values from VASP.

VASP energy ... -5.679 eV per atom
ΔE_f ... -60 kJ per mole of atoms
V ... 187.29 Å³ per cell
Magnetization ... 0.000 μB/cell

Quantum ESPRESSO input file:
```
&SYSTEM
  ibrav = 0, nat = 12, ntyp = 3
/
ATOMIC_SPECIES
Mg 24.30 Mg.upf
Zr 91.22 Zr.upf
Rh 102.91 Rh.upf
CELL_PARAMETERS angstrom
2.2295 -6.6492 0.0000
2.2295 6.6492 0.0000
0.0000 0.0000 6.3168
ATOMIC_POSITIONS angstrom
Mg 0.0000 0.0000 0.0000
Mg 2.2295 2.2560 3.1584
Mg 2.2295 2.2205 0.0000
Mg 2.2295 -2.2205 0.0000
Mg 2.2295 -2.2560 3.1584
Zr 0.0000 0.0000 3.1584
Rh 2.2295 4.4406 1.5745
Rh 2.2295 4.4406 4.7423
Rh 2.2295 0.0000 1.5663
Rh 2.2295 0.0000 4.7505
Rh 2.2295 -4.4406 1.5745
Rh 2.2295 -4.4406 4.7423
```

=====

First-principles (PBE-GGA) data for crystalline MgZrRh at its relaxed geometry, as listed in the Alexandria database. Values from VASP.

VASP energy ... -6.192 eV per atom
ΔE_f ... -35 kJ per mole of atoms
V ... 54.59 Å³ per cell
Magnetization ... 0.000 μB/cell

Quantum ESPRESSO input file:
```
&SYSTEM
  ibrav = 0, nat = 3, ntyp = 3
/
ATOMIC_SPECIES
Mg 24.30 Mg.upf
Zr 91.22 Zr.upf
Rh 102.91 Rh.upf
CELL_PARAMETERS angstrom
4.5691 0.0000 0.0000
-2.2845 3.9569 0.0000
0.0000 0.0000 3.0194
ATOMIC_POSITIONS angstrom
Mg 0.0000 0.0000 0.0000
Zr 0.0000 2.6379 1.6694
Rh 2.2845 1.3190 0.7620
```